IrPtRh2: optimized geometry, PBEsol.

Crystal system: trigonal
Space-group type: No. 160
Formation energy in eV/f.u.: 0.05
Offset from the most stable computed form in eV/atom: 0.057

POSCAR file:
```
IrPtRh2
1.0
-1.241 -1.844 1.546
1.462 -1.671 1.550
-0.308 4.636 7.653
Ir Rh Pt
1 2 1
direct
0.498 0.498 0.506
0.002 0.002 0.994
0.750 0.750 0.750
0.250 0.250 0.249
```